# 1
# PBE SrTc3P, optimized geometry
data_SrTc3P
_cell_length_a 4.5593
_cell_length_b 4.5593
_cell_length_c 4.5593
_cell_angle_alpha 90.00
_cell_angle_beta 90.00
_cell_angle_gamma 90.00
_space_group_name_H-M_alt 'P m -3 m'
_space_group_IT_number 221
_space_group_name_Hall '-P 4 2 3'
loop_
_atom_site_label
_atom_site_type_symbol
_atom_site_fract_x
_atom_site_fract_y
_atom_site_fract_z
Sr1 Sr 0.0000 0.0000 0.0000
Tc1 Tc 0.0000 0.5000 0.5000
P1 P 0.5000 0.5000 0.5000
# - magnetization (μB/f.u.) = 2.2
# - E_tot (eV/cell) = -36.29

=====

# 2
# PBE SrZn2P2, optimized geometry
data_SrZn2P2
_cell_length_a 7.0917
_cell_length_b 4.1047
_cell_length_c 7.1055
_cell_angle_alpha 90.00
_cell_angle_beta 90.01
_cell_angle_gamma 90.00
_space_group_name_H-M_alt 'C 1 2/m 1'
_space_group_IT_number 12
loop_
_space_group_symop_operation_xyz
'x,y,z'
'-x,-y,-z'
'-x,y,-z'
'x,-y,z'
'x+1/2,y+1/2,z'
'-x+1/2,-y+1/2,-z'
'-x+1/2,y+1/2,-z'
'x+1/2,-y+1/2,z'
loop_
_atom_site_label
_atom_site_type_symbol
_atom_site_fract_x
_atom_site_fract_y
_atom_site_fract_z
Sr1 Sr 0.0000 0.0000 0.0000
Zn1 Zn 0.1675 0.5000 0.6295
P1 P 0.1663 0.5000 0.2740
# - E_tot (eV/cell) = -36.98

=====

# 3
# PBE SrZn2P2, optimized geometry
data_SrZn2P2
_cell_length_a 10.0362
_cell_length_b 4.1012
_cell_length_c 10.0553
_cell_angle_alpha 90.00
_cell_angle_beta 90.03
_cell_angle_gamma 90.00
_space_group_name_H-M_alt 'P 1 2/m 1'
_space_group_IT_number 10
loop_
_space_group_symop_operation_xyz
'x,y,z'
'-x,-y,-z'
'-x,y,-z'
'x,-y,z'
loop_
_atom_site_label
_atom_site_type_symbol
_atom_site_fract_x
_atom_site_fract_y
_atom_site_fract_z
Sr1 Sr 0.0000 0.0000 0.0000
Sr2 Sr 0.2494 0.5000 0.2496
Sr3 Sr 0.5000 0.0000 0.5000
Zn1 Zn 0.1025 0.5000 0.7311
Zn2 Zn 0.1484 0.0000 0.5174
Zn3 Zn 0.3519 0.0000 0.9810
Zn4 Zn 0.3989 0.5000 0.7676
P1 P 0.0290 0.0000 0.3035
P2 P 0.2205 0.5000 0.9460
P3 P 0.2799 0.5000 0.5528
P4 P 0.4698 0.0000 0.1966
# - E_tot (eV/cell) = -73.97

=====

# 4
# PBE SrZn2P2, optimized geometry
data_SrZn2P2
_cell_length_a 7.1058
_cell_length_b 7.1058
_cell_length_c 7.1048
_cell_angle_alpha 90.00
_cell_angle_beta 90.00
_cell_angle_gamma 120.00
_space_group_name_H-M_alt 'P -3'
_space_group_IT_number 147
loop_
_space_group_symop_operation_xyz
'x,y,z'
'-x,-y,-z'
'-y,x-y,z'
'y,-x+y,-z'
'-x+y,-x,z'
'x-y,x,-z'
loop_
_atom_site_label
_atom_site_type_symbol
_atom_site_fract_x
_atom_site_fract_y
_atom_site_fract_z
Sr1 Sr 0.0000 0.0000 0.0000
Sr2 Sr 0.3333 0.6667 0.9997
Zn1 Zn 0.0030 0.6680 0.3703
P1 P 0.0012 0.6674 0.7261
# - E_tot (eV/cell) = -55.48